A plane-wave DFT calculation with GGA-PBEsol was carried out for a relaxed structure of CaY3Sn.

Cell: 5.355 5.355 5.355 Å, 90.00 90.00 90.00°
Space group Pm-3m (No. 221)
Unique sites:
Ca 0.000 0.000 0.000 (multiplicity 1)
Y 0.000 0.000 0.500 (multiplicity 3)
Sn 0.500 0.500 0.500 (multiplicity 1)

energy of formation from the pure elements	0.82	eV/atom
size of the total moment	0.000	μB per atom
excess energy over the best structure of this formula in the dataset	723	meV per atom
electronic total energy	-22.8	eV per cell